(1)
PBE-GGA Dy4TlPb, optimized geometry; formation enthalpy at 0 K = -241.4 meV per atom
1.0
6.373 -0.274 0.000
-1.963 8.257 0.000
-2.205 -3.991 6.960
Pb Dy Tl
2 8 2
direct
0.371 0.621 0.242
0.629 0.379 0.758
0.699 0.383 0.163
0.225 0.301 0.378
0.301 0.617 0.837
0.775 0.699 0.622
0.653 0.077 0.378
0.036 0.220 0.837
0.964 0.780 0.163
0.347 0.923 0.622
0.749 0.999 0.998
0.251 0.001 0.002

***

(2)
PBE-GGA DyTlPb, optimized geometry; formation enthalpy at 0 K = -98.9 meV per atom; energy above the most stable polymorph in this dataset = 0.615 eV/f.u.
1.0
5.008 0.000 0.000
2.504 4.340 0.033
2.504 1.409 8.642
Pb Dy Tl
2 2 2
direct
0.141 0.142 0.576
0.859 0.858 0.424
0.426 0.424 0.725
0.574 0.576 0.275
0.699 0.697 0.906
0.301 0.303 0.094

***

(3)
PBE-GGA Dy2TlPb, optimized geometry; formation enthalpy at 0 K = -408.1 meV per atom
1.0
-3.020 -2.647 1.709
-1.295 -2.193 -5.684
6.613 -4.876 4.134
Pb Dy Tl
2 4 2
direct
0.750 0.687 0.799
0.250 0.313 0.201
0.250 0.765 0.569
0.250 0.764 0.067
0.750 0.235 0.431
0.750 0.236 0.933
0.250 0.303 0.698
0.750 0.697 0.302

***

For the records above, the corresponding uncorrected energy values read -4.32 -3.66 -4.23 eV/atom.